(1)
A plane-wave DFT calculation with GGA-PBE was carried out for a relaxed structure of LiAcSi3.

Cell: 3.974 4.601 12.150 Å, 100.91 90.00 90.00°
Atoms (fractional coordinates):
Si  0.750  0.316  0.632
Si  0.750  0.527  0.055
Si  0.750  0.629  0.258
Si  0.250  0.684  0.368
Si  0.250  0.473  0.945
Si  0.250  0.371  0.742
Li  0.250  0.795  0.590
Li  0.750  0.205  0.410
Ac  0.750  0.923  0.846
Ac  0.250  0.077  0.154

The uncorrected formation energy is -0.349 eV per atom. For the density of states at the Fermi level, the calculation gives 0.3766 states/eV per atom. As for the symmetry: Cmcm, No. 63.



(2)
A plane-wave DFT calculation with GGA-PBE was carried out for a relaxed structure of NiTeI2Cl.

Cell: 5.599 5.599 5.586 Å, 90.00 90.00 90.00°
Atoms (fractional coordinates):
Cl  0.000  0.000  0.000
Te  0.000  0.000  0.500
I  0.000  0.500  0.000
I  0.500  0.000  0.000
Ni  0.500  0.500  0.500

The uncorrected formation energy is 1.086 eV per atom. For the density of states at the Fermi level, the calculation gives 1.4502 states/eV per atom. As for the symmetry: P4/mmm, No. 123.